Record 1
CoNiTe6Pd2: optimized geometry, PBE.

Values from the calculation:
magnetization: 0.000 μB/atom
energy: -44.25 eV/cell

a b c (Å): 6.9905 6.9905 6.7545
angles (deg): 58.83 58.84 60.00
Closest atoms and distances in Å follow each position.
Sites, in units of the cell vectors:
Co (0.8290, 0.8290, 0.5130)  6 Te 2.58-2.63
Pd (0.5080, 0.5079, 0.4761)  6 Te 2.73-2.74, 1 Ni 2.97
Pd (0.0126, 0.0126, 0.9622)  6 Te 2.73-2.75, 1 Co 2.98
Te (0.0759, 0.4407, 0.7552)  1 Co 2.58, 1 Ni 2.71, 2 Pd 2.73-2.74
Te (0.4407, 0.7282, 0.7551)  1 Co 2.58, 1 Ni 2.71, 2 Pd 2.73-2.74
Te (0.2257, 0.9307, 0.2577)  1 Ni 2.62, 1 Co 2.63, 2 Pd 2.73-2.75
Te (0.9307, 0.5859, 0.2578)  1 Ni 2.62, 1 Co 2.63, 2 Pd 2.73-2.75
Te (0.7282, 0.0759, 0.7552)  1 Co 2.58, 1 Ni 2.71, 2 Pd 2.73-2.74
Te (0.5860, 0.2257, 0.2577)  1 Ni 2.62, 1 Co 2.63, 2 Pd 2.73-2.75
Ni (0.3250, 0.3250, 0.0251)  6 Te 2.62-2.71


Record 2
TbCeSc2Se4: optimized geometry, PBE.

Values from the calculation:
magnetization: 0.124 μB/atom
energy: -50.67 eV/cell

a b c (Å): 3.9778 7.0093 6.9282
angles (deg): 70.98 90.00 90.00
Closest atoms and distances in Å follow each position.
Sites, in units of the cell vectors:
Se (0.0000, 0.7734, 0.7379)  3 Sc 2.74-2.78, 1 Tb 2.91, 2 Ce 2.94
Se (0.5000, 0.2299, 0.7527)  3 Sc 2.74-2.77, 2 Tb 2.91, 1 Ce 2.94
Se (0.0000, 0.2266, 0.2621)  3 Sc 2.74-2.78, 1 Tb 2.91, 2 Ce 2.94
Se (0.5000, 0.7701, 0.2473)  3 Sc 2.74-2.77, 2 Tb 2.91, 1 Ce 2.94
Sc (0.5000, 0.0000, 0.5000)  6 Se 2.74
Sc (0.0000, 0.0000, 0.0000)  6 Se 2.77-2.78
Ce (0.5000, 0.5000, 0.0000)  6 Se 2.94
Tb (0.0000, 0.5000, 0.5000)  6 Se 2.91


Number 1: D(E_F) 6.4 states/eV per cell. Number 2: D(E_F) 9.2 states/eV per cell.